No. 1
Entry from Alexandria via LeMat-Bulk: crystalline MnInPb2 at its relaxed geometry (PBEsol).

Values from the calculation:
Raw total energy, eV/cell: -38.40
ΔH_f (0 K), eV per formula unit: 1.541

The structure in CIF format:
```
data_MnInPb2
_cell_length_a 4.619
_cell_length_b 4.619
_cell_length_c 9.112
_cell_angle_alpha 90.00
_cell_angle_beta 90.00
_cell_angle_gamma 90.00
_space_group_name_H-M_alt 'I 4/m m m'
_space_group_IT_number 139
_space_group_name_Hall '-I 4 2'
loop_
_atom_site_label
_atom_site_type_symbol
_atom_site_fract_x
_atom_site_fract_y
_atom_site_fract_z
Mn1 Mn 0.000 0.000 0.000
In1 In 0.000 0.000 0.500
Pb1 Pb 0.000 0.500 0.250
```

=====

No. 2
Entry from Alexandria via LeMat-Bulk: crystalline Mn2InPdRu at its relaxed geometry (PBEsol).

Values from the calculation:
Raw total energy, eV/cell: -33.27
ΔH_f (0 K), eV per formula unit: 5.364

The structure in CIF format:
```
data_Mn2InPdRu
_cell_length_a 4.480
_cell_length_b 4.480
_cell_length_c 4.984
_cell_angle_alpha 90.00
_cell_angle_beta 90.00
_cell_angle_gamma 90.00
_space_group_name_H-M_alt 'P 4/m m m'
_space_group_IT_number 123
_space_group_name_Hall '-P 4 2'
loop_
_atom_site_label
_atom_site_type_symbol
_atom_site_fract_x
_atom_site_fract_y
_atom_site_fract_z
Mn1 Mn 0.000 0.500 0.000
In1 In 0.000 0.000 0.500
Pd1 Pd 0.500 0.500 0.500
Ru1 Ru 0.000 0.000 0.000
```

=====

No. 3
Entry from Alexandria via LeMat-Bulk: crystalline MnInPt2 at its relaxed geometry (PBEsol).

Values from the calculation:
Raw total energy, eV/cell: -55.72
ΔH_f (0 K), eV per formula unit: -1.190

The structure in CIF format:
```
data_MnInPt2
_cell_length_a 3.914
_cell_length_b 3.914
_cell_length_c 8.212
_cell_angle_alpha 90.00
_cell_angle_beta 90.00
_cell_angle_gamma 90.00
_space_group_name_H-M_alt 'I -4 m 2'
_space_group_IT_number 119
_space_group_name_Hall 'I -4 -2'
loop_
_atom_site_label
_atom_site_type_symbol
_atom_site_fract_x
_atom_site_fract_y
_atom_site_fract_z
Mn1 Mn 0.000 0.000 0.000
In1 In 0.000 0.500 0.250
Pt1 Pt 0.000 0.000 0.500
Pt2 Pt 0.000 0.500 0.750
```

=====

No. 4
Entry from Alexandria via LeMat-Bulk: crystalline MnInPt2 at its relaxed geometry (PBEsol).

Values from the calculation:
Raw total energy, eV/cell: -55.33
ΔH_f (0 K), eV per formula unit: -0.993

The structure in CIF format:
```
data_MnInPt2
_cell_length_a 9.414
_cell_length_b 2.941
_cell_length_c 4.683
_cell_angle_alpha 90.00
_cell_angle_beta 102.16
_cell_angle_gamma 90.00
_space_group_name_H-M_alt 'C 1 m 1'
_space_group_IT_number 8
loop_
_space_group_symop_operation_xyz
'x,y,z'
'x,-y,z'
'x+1/2,y+1/2,z'
'x+1/2,-y+1/2,z'
loop_
_atom_site_label
_atom_site_type_symbol
_atom_site_fract_x
_atom_site_fract_y
_atom_site_fract_z
Mn1 Mn 0.000 0.000 0.000
In1 In 0.244 0.000 0.681
Pt1 Pt 0.240 0.500 0.172
Pt2 Pt 0.495 0.000 0.483
```

=====

No. 5
Entry from Alexandria via LeMat-Bulk: crystalline MnInPt4 at its relaxed geometry (PBEsol).

Values from the calculation:
Raw total energy, eV/cell: -164.00
ΔH_f (0 K), eV per formula unit: -0.403

The structure in CIF format:
```
data_MnInPt4
_cell_length_a 7.409
_cell_length_b 7.409
_cell_length_c 7.409
_cell_angle_alpha 90.00
_cell_angle_beta 90.00
_cell_angle_gamma 90.00
_space_group_name_H-M_alt 'F -4 3 m'
_space_group_IT_number 216
_space_group_name_Hall 'F -4 2 3'
loop_
_atom_site_label
_atom_site_type_symbol
_atom_site_fract_x
_atom_site_fract_y
_atom_site_fract_z
Mn1 Mn 0.000 0.000 0.000
In1 In 0.250 0.250 0.250
Pt1 Pt 0.125 0.125 0.625
```

=====

No. 6
Entry from Alexandria via LeMat-Bulk: crystalline MnInPt2 at its relaxed geometry (PBEsol).

Values from the calculation:
Raw total energy, eV/cell: -27.80
ΔH_f (0 K), eV per formula unit: -1.129

The structure in CIF format:
```
data_MnInPt2
_cell_length_a 2.904
_cell_length_b 4.593
_cell_length_c 4.752
_cell_angle_alpha 90.00
_cell_angle_beta 90.00
_cell_angle_gamma 90.00
_space_group_name_H-M_alt 'P m m 2'
_space_group_IT_number 25
loop_
_space_group_symop_operation_xyz
'x,y,z'
'-x,-y,z'
'-x,y,z'
'x,-y,z'
loop_
_atom_site_label
_atom_site_type_symbol
_atom_site_fract_x
_atom_site_fract_y
_atom_site_fract_z
Mn1 Mn 0.000 0.000 0.000
In1 In 0.000 0.500 0.404
Pt1 Pt 0.500 0.000 0.519
Pt2 Pt 0.500 0.500 0.909
```